<P>
A PBEsol-optimized structure of NaBiC3, computed with SCAN.

Properties
**SG**: Pm-3m, No. 221

a b c (Å): 4.5598 4.5598 4.5598
angles (deg): 90.00 90.00 90.00
Last column: nearest neighbours and their distance in Å.
Sites, in units of the cell vectors:
Na 0.0000 0.0000 0.0000  12 C 3.22
Bi 0.5000 0.5000 0.5000  6 C 2.28
C 0.0000 0.5000 0.5000  2 Bi 2.28
C 0.5000 0.0000 0.5000  2 Bi 2.28
C 0.5000 0.5000 0.0000  2 Bi 2.28



<Q>
A PBEsol-optimized structure of NaBiC3, computed with SCAN.

Properties
**SG**: Pm-3m, No. 221

a b c (Å): 4.1973 4.1973 4.1973
angles (deg): 90.00 90.00 90.00
Last column: nearest neighbours and their distance in Å.
Sites, in units of the cell vectors:
Na 0.0000 0.0000 0.0000  6 C 2.10
Bi 0.5000 0.5000 0.5000  12 C 2.97
C 0.0000 0.0000 0.5000  2 Na 2.10
C 0.0000 0.5000 0.0000  2 Na 2.10
C 0.5000 0.0000 0.0000  2 Na 2.10



If we sort the structures by their calculated energies, the order from most to least stable is <P>, <Q>.



<P>
A PBEsol-optimized structure of Na4Bi2C4SO16, computed with SCAN.

Properties
**SG**: F222, No. 22

a b c (Å): 10.3336 10.2459 10.1773
angles (deg): 60.79 59.93 59.28
Last column: nearest neighbours and their distance in Å.
Sites, in units of the cell vectors:
Na 0.0553 0.4447 0.4447  4 O 2.25-2.46
Na 0.2043 0.7957 0.2043  6 O 2.43-2.47
Na 0.2044 0.7956 0.7956  6 O 2.40-2.54
Na 0.2064 0.2064 0.7936  6 O 2.39-2.52
Na 0.4447 0.0553 0.0553  4 O 2.25-2.46
Na 0.7936 0.7936 0.2064  6 O 2.39-2.52
Na 0.7956 0.2044 0.2044  6 O 2.40-2.54
Na 0.7957 0.2043 0.7957  6 O 2.43-2.47
Bi 0.1195 0.6352 0.6271  6 O 2.31-2.41
Bi 0.6181 0.6271 0.6352  6 O 2.31-2.41
Bi 0.6271 0.6181 0.1195  6 O 2.31-2.41
Bi 0.6352 0.1195 0.6181  6 O 2.31-2.41
C 0.4055 0.4115 0.4065  3 O 1.29-1.30
C 0.4065 0.7765 0.4055  3 O 1.29-1.30
C 0.4115 0.4055 0.7765  3 O 1.29-1.30
C 0.4476 0.8605 0.8590  3 O 1.29-1.31
C 0.7765 0.4065 0.4115  3 O 1.29-1.30
C 0.8329 0.8590 0.8605  3 O 1.29-1.31
C 0.8590 0.8329 0.4476  3 O 1.29-1.31
C 0.8605 0.4476 0.8329  3 O 1.29-1.31
S 0.0000 0.0000 0.0000  4 O 1.49
S 0.2500 0.2500 0.2500  4 O 1.50
O 0.0582 0.0596 0.0603  1 S 1.49
O 0.0596 0.0582 0.8219  1 S 1.49
O 0.0603 0.8219 0.0582  1 S 1.49
O 0.1877 0.4289 0.1942  1 S 1.50
O 0.1892 0.1942 0.4289  1 S 1.50
O 0.1942 0.1892 0.1877  1 S 1.50
O 0.2743 0.4159 0.5297  1 C 1.30
O 0.2804 0.7769 0.4075  1 C 1.29
O 0.2855 0.5326 0.7707  1 C 1.29
O 0.4075 0.5352 0.2804  1 C 1.29
O 0.4112 0.7707 0.5326  1 C 1.29
O 0.4159 0.2743 0.7800  1 C 1.30
O 0.4289 0.1877 0.1892  1 S 1.50
O 0.4442 0.7409 0.8504  1 C 1.29
O 0.4459 0.8518 0.9923  1 C 1.31
O 0.4507 0.9892 0.7385  1 C 1.29
O 0.5297 0.7800 0.2743  1 C 1.30
O 0.5326 0.2855 0.4112  1 C 1.29
O 0.5352 0.4075 0.7769  1 C 1.29
O 0.7099 0.9923 0.8518  1 C 1.31
O 0.7385 0.8216 0.4507  1 C 1.29
O 0.7409 0.4442 0.9645  1 C 1.29
O 0.7707 0.4112 0.2855  1 C 1.29
O 0.7769 0.2804 0.5352  1 C 1.29
O 0.7800 0.5297 0.4159  1 C 1.30
O 0.8219 0.0603 0.0596  1 S 1.49
O 0.8216 0.7385 0.9892  1 C 1.29
O 0.8504 0.9645 0.4442  1 C 1.29
O 0.8518 0.4459 0.7099  1 C 1.31
O 0.9645 0.8504 0.7409  1 C 1.29
O 0.9892 0.4507 0.8216  1 C 1.29
O 0.9923 0.7099 0.4459  1 C 1.31



<Q>
A PBEsol-optimized structure of Na4Bi2C4SO16, computed with SCAN.

Properties
**SG**: Fddd, No. 70

a b c (Å): 10.5089 10.3999 10.0158
angles (deg): 61.93 60.83 57.24
Last column: nearest neighbours and their distance in Å.
Sites, in units of the cell vectors:
Na 0.0756 0.6744 0.0756  6 O 2.34-2.52
Na 0.0773 0.6727 0.6727  4 O 2.31-2.41
Na 0.3256 0.9244 0.3256  6 O 2.34-2.52
Na 0.3273 0.9227 0.9227  4 O 2.31-2.41
Na 0.6727 0.0773 0.0773  4 O 2.31-2.41
Na 0.6744 0.0756 0.6744  6 O 2.34-2.52
Na 0.9227 0.3273 0.3273  4 O 2.31-2.41
Na 0.9244 0.3256 0.9244  6 O 2.34-2.52
Bi 0.0000 0.5000 0.5000  6 O 2.35-2.37
Bi 0.5000 0.0000 0.5000  6 O 2.35-2.37
Bi 0.5000 0.5000 0.0000  6 O 2.35-2.37
Bi 0.5000 0.5000 0.5000  6 O 2.35-2.37
C 0.2613 0.6636 0.2903  3 O 1.29-1.30
C 0.2848 0.2903 0.6636  3 O 1.29-1.30
C 0.2903 0.2848 0.2613  3 O 1.29-1.30
C 0.3364 0.7387 0.7152  3 O 1.29-1.30
C 0.6636 0.2613 0.2848  3 O 1.29-1.30
C 0.7097 0.7152 0.7387  3 O 1.29-1.30
C 0.7152 0.7097 0.3364  3 O 1.29-1.30
C 0.7387 0.3364 0.7097  3 O 1.29-1.30
S 0.1250 0.1250 0.1250  4 O 1.49
S 0.8750 0.8750 0.8750  4 O 1.49
O 0.0566 0.3028 0.0713  1 S 1.49
O 0.0693 0.0713 0.3028  1 S 1.49
O 0.0713 0.0693 0.0566  1 S 1.49
O 0.1398 0.6545 0.4149  1 C 1.29
O 0.1548 0.2983 0.6696  1 C 1.30
O 0.1553 0.4095 0.2689  1 C 1.30
O 0.2689 0.6664 0.1553  1 C 1.30
O 0.2908 0.4149 0.6545  1 C 1.29
O 0.2983 0.1548 0.3773  1 C 1.30
O 0.3028 0.0566 0.0693  1 S 1.49
O 0.3304 0.6227 0.8452  1 C 1.30
O 0.3336 0.7311 0.5905  1 C 1.30
O 0.3455 0.8602 0.7092  1 C 1.29
O 0.3773 0.6696 0.2983  1 C 1.30
O 0.4095 0.1553 0.6664  1 C 1.30
O 0.4149 0.2908 0.1398  1 C 1.29
O 0.5851 0.7092 0.8602  1 C 1.29
O 0.5905 0.8447 0.3336  1 C 1.30
O 0.6227 0.3304 0.7017  1 C 1.30
O 0.6545 0.1398 0.2908  1 C 1.29
O 0.6664 0.2689 0.4095  1 C 1.30
O 0.6696 0.3773 0.1548  1 C 1.30
O 0.6972 0.9434 0.9307  1 S 1.49
O 0.7017 0.8452 0.6227  1 C 1.30
O 0.7092 0.5851 0.3455  1 C 1.29
O 0.7311 0.3336 0.8447  1 C 1.30
O 0.8447 0.5905 0.7311  1 C 1.30
O 0.8452 0.7017 0.3304  1 C 1.30
O 0.8602 0.3455 0.5851  1 C 1.29
O 0.9287 0.9307 0.9434  1 S 1.49
O 0.9307 0.9287 0.6972  1 S 1.49
O 0.9434 0.6972 0.9287  1 S 1.49



If we sort the structures by their calculated energies, the order from most to least stable is <Q>, <P>.



<P>
A PBEsol-optimized structure of Ca2MgBi, computed with SCAN.

Properties
**SG**: I-42d, No. 122

a b c (Å): 11.6581 11.6581 11.6581
angles (deg): 155.74 155.74 34.57
Last column: nearest neighbours and their distance in Å.
Sites, in units of the cell vectors:
Ca 0.1129 0.6250 0.9879  2 Bi 3.26, 2 Mg 3.30, 4 Ca 3.38-3.55
Ca 0.3750 0.3629 0.4879  2 Bi 3.26, 2 Mg 3.30, 4 Ca 3.38-3.55
Ca 0.6371 0.1250 0.0121  2 Bi 3.26, 2 Mg 3.30, 4 Ca 3.38-3.55
Ca 0.8750 0.8871 0.5121  2 Bi 3.26, 2 Mg 3.30, 4 Ca 3.38-3.55
Mg 0.2500 0.7500 0.5000  4 Ca 3.30, 4 Bi 3.46
Mg 0.5000 0.5000 0.0000  4 Ca 3.30, 4 Bi 3.46
Bi 0.0000 0.0000 0.0000  4 Ca 3.26, 4 Mg 3.46
Bi 0.7500 0.2500 0.5000  4 Ca 3.26, 4 Mg 3.46



<Q>
A PBEsol-optimized structure of Ca2MgBi, computed with SCAN.

Properties
**SG**: Fm-3m, No. 225

a b c (Å): 5.5235 5.5235 5.5235
angles (deg): 60.00 60.00 60.00
Last column: nearest neighbours and their distance in Å.
Sites, in units of the cell vectors:
Ca 0.2500 0.2500 0.2500  4 Bi 3.38, 4 Mg 3.38
Ca 0.7500 0.7500 0.7500  4 Bi 3.38, 4 Mg 3.38
Mg 0.0000 0.0000 0.0000  8 Ca 3.38
Bi 0.5000 0.5000 0.5000  8 Ca 3.38



If we sort the structures by their calculated energies, the order from most to least stable is <Q>, <P>.



<P>
A PBEsol-optimized structure of CaBi2O5, computed with SCAN.

Properties
**SG**: C2/c, No. 15

a b c (Å): 8.6110 8.6110 11.2082
angles (deg): 90.12 90.12 83.42
Last column: nearest neighbours and their distance in Å.
Sites, in units of the cell vectors:
Ca 0.1779 0.8221 0.7500  6 O 2.24-2.39
Ca 0.1960 0.4728 0.9294  5 O 2.29-2.43
Ca 0.4728 0.1960 0.4294  5 O 2.29-2.43
Ca 0.5272 0.8040 0.5706  5 O 2.29-2.43
Ca 0.8040 0.5272 0.0706  5 O 2.29-2.43
Ca 0.8221 0.1779 0.2500  6 O 2.24-2.39
Bi 0.1383 0.8548 0.0578  5 O 2.17-2.27
Bi 0.1452 0.8617 0.4422  5 O 2.17-2.27
Bi 0.1497 0.5139 0.2484  6 O 2.09-2.28
Bi 0.2007 0.4748 0.5693  5 O 2.22-2.44
Bi 0.4748 0.2007 0.0693  5 O 2.22-2.44
Bi 0.4861 0.8503 0.2516  6 O 2.09-2.28
Bi 0.5139 0.1497 0.7484  6 O 2.09-2.28
Bi 0.5252 0.7993 0.9307  5 O 2.22-2.44
Bi 0.7993 0.5252 0.4307  5 O 2.22-2.44
Bi 0.8503 0.4861 0.7516  6 O 2.09-2.28
Bi 0.8548 0.1383 0.5578  5 O 2.17-2.27
Bi 0.8617 0.1452 0.9422  5 O 2.17-2.27
O 0.0345 0.9508 0.8931  2 Bi 2.17-2.18, 1 Ca 2.24
O 0.0395 0.6337 0.0907  2 Bi 2.20-2.21, 1 Ca 2.33
O 0.0409 0.6359 0.4115  3 Bi 2.26-2.40
O 0.0492 0.9655 0.6069  2 Bi 2.17-2.18, 1 Ca 2.24
O 0.0684 0.5794 0.7491  1 Bi 2.13
O 0.2540 0.7460 0.2500  4 Bi 2.28-2.51
O 0.2797 0.3925 0.3848  2 Bi 2.10-2.27, 1 Ca 2.29
O 0.2866 0.3874 0.1195  2 Bi 2.09-2.22
O 0.2915 0.7060 0.5728  2 Bi 2.22-2.27, 2 Ca 2.29-2.38
O 0.2940 0.7085 0.9272  2 Bi 2.22-2.27, 2 Ca 2.29-2.38
O 0.3641 0.9591 0.0885  3 Bi 2.26-2.40
O 0.3663 0.9605 0.4093  2 Bi 2.20-2.21, 1 Ca 2.33
O 0.3874 0.2866 0.6195  2 Bi 2.09-2.22
O 0.3925 0.2797 0.8848  2 Bi 2.10-2.27, 1 Ca 2.29
O 0.4206 0.9316 0.7509  1 Bi 2.13
O 0.5794 0.0684 0.2491  1 Bi 2.13
O 0.6075 0.7203 0.1152  2 Bi 2.10-2.27, 1 Ca 2.29
O 0.6126 0.7134 0.3805  2 Bi 2.09-2.22
O 0.6337 0.0395 0.5907  2 Bi 2.20-2.21, 1 Ca 2.33
O 0.6359 0.0409 0.9115  3 Bi 2.26-2.40
O 0.7060 0.2915 0.0728  2 Bi 2.22-2.27, 2 Ca 2.29-2.38
O 0.7085 0.2940 0.4272  2 Bi 2.22-2.27, 2 Ca 2.29-2.38
O 0.7134 0.6126 0.8805  2 Bi 2.09-2.22
O 0.7203 0.6075 0.6152  2 Bi 2.10-2.27, 1 Ca 2.29
O 0.7460 0.2540 0.7500  4 Bi 2.28-2.51
O 0.9316 0.4206 0.2509  1 Bi 2.13
O 0.9508 0.0345 0.3931  2 Bi 2.17-2.18, 1 Ca 2.24
O 0.9591 0.3641 0.5885  3 Bi 2.26-2.40
O 0.9605 0.3663 0.9093  2 Bi 2.20-2.21, 1 Ca 2.33
O 0.9655 0.0492 0.1069  2 Bi 2.17-2.18, 1 Ca 2.24



<Q>
A PBEsol-optimized structure of CaBi2O5, computed with SCAN.

Properties
**SG**: P2_1/c, No. 14

a b c (Å): 5.8709 11.7260 8.9966
angles (deg): 90.00 108.65 90.00
Last column: nearest neighbours and their distance in Å.
Sites, in units of the cell vectors:
Ca 0.0340 0.0949 0.1624  5 O 2.27-2.43
Ca 0.0340 0.4051 0.6624  5 O 2.27-2.43
Ca 0.9660 0.5949 0.3376  5 O 2.27-2.43
Ca 0.9660 0.9051 0.8376  5 O 2.27-2.43
Bi 0.3837 0.6194 0.0576  4 O 2.03-2.09
Bi 0.3837 0.8806 0.5576  4 O 2.03-2.09
Bi 0.4590 0.0989 0.8554  5 O 2.22-2.41
Bi 0.4590 0.4011 0.3554  5 O 2.22-2.41
Bi 0.5410 0.5989 0.6446  5 O 2.22-2.41
Bi 0.5410 0.9011 0.1446  5 O 2.22-2.41
Bi 0.6163 0.1194 0.4424  4 O 2.03-2.09
Bi 0.6163 0.3806 0.9424  4 O 2.03-2.09
O 0.2054 0.5426 0.1898  1 Bi 2.03
O 0.2054 0.9574 0.6898  1 Bi 2.03
O 0.2308 0.7221 0.4907  1 Bi 2.07, 1 Ca 2.27
O 0.2308 0.7779 0.9907  1 Bi 2.07, 1 Ca 2.27
O 0.2668 0.0293 0.0112  2 Bi 2.22-2.25, 2 Ca 2.35-2.43
O 0.2668 0.4707 0.5112  2 Bi 2.22-2.25, 2 Ca 2.35-2.43
O 0.3089 0.2082 0.3338  1 Bi 2.04, 1 Ca 2.27
O 0.3089 0.2918 0.8338  1 Bi 2.04, 1 Ca 2.27
O 0.3544 0.5327 0.8491  2 Bi 2.09-2.33
O 0.3544 0.9673 0.3491  2 Bi 2.09-2.33
O 0.6456 0.0327 0.6509  2 Bi 2.09-2.33
O 0.6456 0.4673 0.1509  2 Bi 2.09-2.33
O 0.6911 0.7082 0.1662  1 Bi 2.04, 1 Ca 2.27
O 0.6911 0.7918 0.6662  1 Bi 2.04, 1 Ca 2.27
O 0.7332 0.5293 0.4888  2 Bi 2.22-2.25, 2 Ca 2.35-2.43
O 0.7332 0.9707 0.9888  2 Bi 2.22-2.25, 2 Ca 2.35-2.43
O 0.7692 0.2221 0.0093  1 Bi 2.07, 1 Ca 2.27
O 0.7692 0.2779 0.5093  1 Bi 2.07, 1 Ca 2.27
O 0.7946 0.0426 0.3102  1 Bi 2.03
O 0.7946 0.4574 0.8102  1 Bi 2.03



<R>
A PBEsol-optimized structure of CaBi2O5, computed with SCAN.

Properties
**SG**: Pbca, No. 61

a b c (Å): 5.5721 16.2878 10.6350
angles (deg): 90.00 90.00 90.00
Last column: nearest neighbours and their distance in Å.
Sites, in units of the cell vectors:
Ca 0.0378 0.0810 0.1347  6 O 2.29-2.45
Ca 0.0378 0.4190 0.6347  6 O 2.29-2.45
Ca 0.4622 0.5810 0.1347  6 O 2.29-2.45
Ca 0.4622 0.9190 0.6347  6 O 2.29-2.45
Ca 0.5378 0.0810 0.3653  6 O 2.29-2.45
Ca 0.5378 0.4190 0.8653  6 O 2.29-2.45
Ca 0.9622 0.5810 0.3653  6 O 2.29-2.45
Ca 0.9622 0.9190 0.8653  6 O 2.29-2.45
Bi 0.0205 0.7485 0.1453  4 O 2.20-2.39
Bi 0.0205 0.7515 0.6453  4 O 2.20-2.39
Bi 0.0438 0.5694 0.8776  6 O 2.07-2.25
Bi 0.0438 0.9306 0.3776  6 O 2.07-2.25
Bi 0.4562 0.0694 0.8776  6 O 2.07-2.25
Bi 0.4562 0.4306 0.3776  6 O 2.07-2.25
Bi 0.4795 0.2485 0.1453  4 O 2.20-2.39
Bi 0.4795 0.2515 0.6453  4 O 2.20-2.39
Bi 0.5205 0.7485 0.3547  4 O 2.20-2.39
Bi 0.5205 0.7515 0.8547  4 O 2.20-2.39
Bi 0.5438 0.5694 0.6224  6 O 2.07-2.25
Bi 0.5438 0.9306 0.1224  6 O 2.07-2.25
Bi 0.9562 0.0694 0.6224  6 O 2.07-2.25
Bi 0.9562 0.4306 0.1224  6 O 2.07-2.25
Bi 0.9795 0.2485 0.3547  4 O 2.20-2.39
Bi 0.9795 0.2515 0.8547  4 O 2.20-2.39
O 0.1289 0.1748 0.6990  2 Bi 2.13-2.24
O 0.1289 0.3252 0.1990  2 Bi 2.13-2.24
O 0.2055 0.0097 0.7505  2 Bi 2.17-2.18, 2 Ca 2.35-2.40
O 0.2055 0.4903 0.2505  2 Bi 2.17-2.18, 2 Ca 2.35-2.40
O 0.2213 0.0307 0.4905  2 Bi 2.13-2.25, 1 Ca 2.36
O 0.2213 0.4693 0.9905  2 Bi 2.13-2.25, 1 Ca 2.36
O 0.2329 0.6716 0.2747  2 Bi 2.20, 2 Ca 2.32-2.45
O 0.2329 0.8284 0.7747  2 Bi 2.20, 2 Ca 2.32-2.45
O 0.2492 0.1498 0.9826  1 Bi 2.07, 1 Ca 2.29
O 0.2492 0.3502 0.4826  1 Bi 2.07, 1 Ca 2.29
O 0.2508 0.6498 0.9826  1 Bi 2.07, 1 Ca 2.29
O 0.2508 0.8502 0.4826  1 Bi 2.07, 1 Ca 2.29
O 0.2671 0.1716 0.2747  2 Bi 2.20, 2 Ca 2.32-2.45
O 0.2671 0.3284 0.7747  2 Bi 2.20, 2 Ca 2.32-2.45
O 0.2787 0.5307 0.4905  2 Bi 2.13-2.25, 1 Ca 2.36
O 0.2787 0.9693 0.9905  2 Bi 2.13-2.25, 1 Ca 2.36
O 0.2945 0.5097 0.7505  2 Bi 2.17-2.18, 2 Ca 2.35-2.40
O 0.2945 0.9903 0.2505  2 Bi 2.17-2.18, 2 Ca 2.35-2.40
O 0.3711 0.6748 0.6990  2 Bi 2.13-2.24
O 0.3711 0.8252 0.1990  2 Bi 2.13-2.24
O 0.6289 0.1748 0.8010  2 Bi 2.13-2.24
O 0.6289 0.3252 0.3010  2 Bi 2.13-2.24
O 0.7055 0.0097 0.7495  2 Bi 2.17-2.18, 2 Ca 2.35-2.40
O 0.7055 0.4903 0.2495  2 Bi 2.17-2.18, 2 Ca 2.35-2.40
O 0.7213 0.0307 0.0095  2 Bi 2.13-2.25, 1 Ca 2.36
O 0.7213 0.4693 0.5095  2 Bi 2.13-2.25, 1 Ca 2.36
O 0.7329 0.6716 0.2253  2 Bi 2.20, 2 Ca 2.32-2.45
O 0.7329 0.8284 0.7253  2 Bi 2.20, 2 Ca 2.32-2.45
O 0.7492 0.1498 0.5174  1 Bi 2.07, 1 Ca 2.29
O 0.7492 0.3502 0.0174  1 Bi 2.07, 1 Ca 2.29
O 0.7508 0.6498 0.5174  1 Bi 2.07, 1 Ca 2.29
O 0.7508 0.8502 0.0174  1 Bi 2.07, 1 Ca 2.29
O 0.7671 0.1716 0.2253  2 Bi 2.20, 2 Ca 2.32-2.45
O 0.7671 0.3284 0.7253  2 Bi 2.20, 2 Ca 2.32-2.45
O 0.7787 0.5307 0.0095  2 Bi 2.13-2.25, 1 Ca 2.36
O 0.7787 0.9693 0.5095  2 Bi 2.13-2.25, 1 Ca 2.36
O 0.7945 0.5097 0.7495  2 Bi 2.17-2.18, 2 Ca 2.35-2.40
O 0.7945 0.9903 0.2495  2 Bi 2.17-2.18, 2 Ca 2.35-2.40
O 0.8711 0.6748 0.8010  2 Bi 2.13-2.24
O 0.8711 0.8252 0.3010  2 Bi 2.13-2.24



If we sort the structures by their calculated energies, the order from most to least stable is <R>, <P>, <Q>.